Below is Ta7Ti2Mo2 after structural relaxation, with properties calculated at the GGA-PBE level.

Lattice parameters (Å, degrees): 5.335 5.335 7.858 91.34 91.34 115.75
Fractional coordinates of all 11 atoms:
Ta  0.000  0.000  0.000
Ta  0.133  0.583  0.839
Ta  0.324  0.324  0.327
Ta  0.417  0.867  0.161
Ta  0.583  0.133  0.839
Ta  0.676  0.676  0.673
Ta  0.867  0.417  0.161
Ti  0.235  0.765  0.500
Ti  0.765  0.235  0.500
Mo  0.170  0.170  0.665
Mo  0.830  0.830  0.335

Results
* total moment: 0.00 μB/f.u.
* SG: C2/m, No. 12
* energy of formation from the pure elements: 14 kJ per mole of atoms